Entry 1:
VASP calculation (GGA-PBE) on a relaxed structure of Nb3Os3Rh.

Unit cell a=6.141 b=6.141 c=6.343 alpha=90.00 beta=90.00 gamma=90.39
Element x y z (fractional)
Os1 0.259 0.259 0.500
Os2 0.258 0.742 0.000
Os3 0.741 0.741 0.500
Os4 0.742 0.258 0.000
Os5 0.738 0.262 0.500
Os6 0.262 0.738 0.500
Nb1 0.000 0.500 0.748
Nb2 0.000 0.000 0.749
Nb3 0.000 0.000 0.251
Nb4 0.000 0.500 0.252
Nb5 0.500 0.000 0.252
Nb6 0.500 0.000 0.748
Rh1 0.271 0.271 0.000
Rh2 0.729 0.729 0.000

Results
**Total magnetic moment**: 0.00 μB/atom
**Calculated density**: 13.220 Mg/m³
**ΔE_f**: 0.019 eV/atom
**Volume**: 239 Å³ per cell
**N(E_F)**: 6.50 states/eV per cell

Entry 2:
VASP calculation (GGA-PBE) on a relaxed structure of Dy5Co2Ni.

Unit cell a=7.147 b=7.147 c=8.642 alpha=114.42 beta=114.42 gamma=90.00
Element x y z (fractional)
Co1 0.113 0.387 0.000
Co2 0.387 0.887 0.000
Co3 0.613 0.113 0.000
Co4 0.887 0.613 0.000
Dy1 0.500 0.500 0.000
Dy2 0.818 0.965 0.283
Dy3 0.318 0.818 0.283
Dy4 0.535 0.682 0.717
Dy5 0.682 0.182 0.717
Dy6 0.035 0.535 0.717
Dy7 0.182 0.035 0.717
Dy8 0.465 0.318 0.283
Dy9 0.965 0.465 0.283
Dy10 0.000 0.000 0.000
Ni1 0.250 0.250 0.500
Ni2 0.750 0.750 0.500

Results
**Total magnetic moment**: 0.00 μB/atom
**Calculated density**: 9.175 Mg/m³
**ΔE_f**: -0.221 eV/atom
**Volume**: 358 Å³ per cell
**N(E_F)**: 13.07 states/eV per cell

Please write out number 2 again, unchanged.
VASP calculation (GGA-PBE) on a relaxed structure of Dy5Co2Ni.

Unit cell a=7.147 b=7.147 c=8.642 alpha=114.42 beta=114.42 gamma=90.00
Element x y z (fractional)
Co1 0.113 0.387 0.000
Co2 0.387 0.887 0.000
Co3 0.613 0.113 0.000
Co4 0.887 0.613 0.000
Dy1 0.500 0.500 0.000
Dy2 0.818 0.965 0.283
Dy3 0.318 0.818 0.283
Dy4 0.535 0.682 0.717
Dy5 0.682 0.182 0.717
Dy6 0.035 0.535 0.717
Dy7 0.182 0.035 0.717
Dy8 0.465 0.318 0.283
Dy9 0.965 0.465 0.283
Dy10 0.000 0.000 0.000
Ni1 0.250 0.250 0.500
Ni2 0.750 0.750 0.500

Results
**Total magnetic moment**: 0.00 μB/atom
**Calculated density**: 9.175 Mg/m³
**ΔE_f**: -0.221 eV/atom
**Volume**: 358 Å³ per cell
**N(E_F)**: 13.07 states/eV per cell